Record 1
Density functional theory data (PBEsol) for AlTeS2 after structural relaxation.

Cell: 3.5177 3.5177 23.6320 Å, 90.00 90.00 120.00°
Last column: nearest neighbours and their distance in Å.
Space group R-3m (No. 166, hexagonal axes)
Symmetry-distinct sites (fractional):
Al  0.0000  0.0000  0.0000 x3  6 S 2.41
Te  0.0000  0.0000  0.5000 x3  2 S 2.65
S  0.0000  0.0000  0.3880 x6  3 Al 2.41, 1 Te 2.65

Computed properties:
Its crystal system is trigonal. The calculation puts the formation energy without anion corrections at -0.6411 eV per atom. For the distance to the lowest polymorph of the same formula, the calculation gives 0.00 eV/f.u.

Record 2
Density functional theory data (PBEsol) for Ti2AlS after structural relaxation.

Cell: 6.2377 6.2377 6.2377 Å, 90.00 90.00 90.00°
Last column: nearest neighbours and their distance in Å.
Space group Fm-3m (No. 225)
Symmetry-distinct sites (fractional):
Ti  0.2500  0.2500  0.2500 x8  4 S 2.70, 4 Al 2.70
Al  0.0000  0.0000  0.0000 x4  8 Ti 2.70
S  0.0000  0.0000  0.5000 x4  8 Ti 2.70

Computed properties:
Its crystal system is cubic. The calculation puts the formation energy without anion corrections at -0.2434 eV per atom.

Record 3
Density functional theory data (PBEsol) for AlTlS2 after structural relaxation.

Cell: 10.1952 10.1931 14.9863 Å, 90.00 99.78 90.00°
Last column: nearest neighbours and their distance in Å.
Space group C2/c (No. 15)
Symmetry-distinct sites (fractional):
Al  0.1021  0.1897  0.1629 x8  4 S 2.25-2.26
Al  0.1454  0.4370  0.3385 x8  4 S 2.25-2.26
Tl  0.0387  0.1898  0.8894 x8  7 S 3.21-3.56, 1 Tl 3.59
Tl  0.2178  0.4368  0.6154 x8  6 S 3.22-3.31, 1 Tl 3.59
S  0.0000  0.0562  0.2500 x4  2 Al 2.26
S  0.0000  0.4309  0.7500 x4  2 Al 2.26
S  0.0444  0.3127  0.4309 x8  2 Al 2.25
S  0.2076  0.0661  0.0722 x8  2 Al 2.25-2.26
S  0.2433  0.1872  0.7486 x8  2 Al 2.26

Computed properties:
Its crystal system is monoclinic. The calculation puts the formation energy without anion corrections at -0.8634 eV per atom.

Record 4
Density functional theory data (PBEsol) for AlTlS2 after structural relaxation.

Cell: 6.8897 6.8897 8.0802 Å, 90.00 90.00 90.00°
Last column: nearest neighbours and their distance in Å.
Space group I-42d (No. 122)
Symmetry-distinct sites (fractional):
Al  0.0000  0.0000  0.0000 x4  4 S 2.26
Tl  0.0000  0.0000  0.5000 x4  4 S 3.11
S  0.1532  0.2500  0.1250 x8  2 Al 2.26

Computed properties:
Its crystal system is tetragonal. The calculation puts the formation energy without anion corrections at -0.8110 eV per atom.

Record 5
Density functional theory data (PBEsol) for AlWS3 after structural relaxation.

Cell: 4.6624 4.6624 4.6624 Å, 90.00 90.00 90.00°
Last column: nearest neighbours and their distance in Å.
Space group Pm-3m (No. 221)
Symmetry-distinct sites (fractional):
Al  0.0000  0.0000  0.0000 x1  12 S 3.30
W  0.5000  0.5000  0.5000 x1  6 S 2.33
S  0.0000  0.5000  0.5000 x3  2 W 2.33

Computed properties:
Its crystal system is cubic. The calculation puts the formation energy without anion corrections at -0.0174 eV per atom.

Record 6
Density functional theory data (PBEsol) for Y2AlS after structural relaxation.

Cell: 7.0573 7.0573 7.0573 Å, 90.00 90.00 90.00°
Last column: nearest neighbours and their distance in Å.
Space group Fm-3m (No. 225)
Symmetry-distinct sites (fractional):
Y  0.2500  0.2500  0.2500 x8  4 S 3.06, 4 Al 3.06
Al  0.0000  0.0000  0.0000 x4  8 Y 3.06
S  0.0000  0.0000  0.5000 x4  8 Y 3.06

Computed properties:
Its crystal system is cubic. The calculation puts the formation energy without anion corrections at -0.6642 eV per atom.

Record 7
Density functional theory data (PBEsol) for YAlS2 after structural relaxation.

Cell: 3.5450 3.5450 23.8169 Å, 90.00 90.00 120.00°
Last column: nearest neighbours and their distance in Å.
Space group R-3m (No. 166, hexagonal axes)
Symmetry-distinct sites (fractional):
Y  0.0000  0.0000  0.0000 x3  2 S 2.67
Al  0.0000  0.0000  0.5000 x3  6 S 2.42
S  0.0000  0.0000  0.1122 x6  3 Al 2.42, 1 Y 2.67

Computed properties:
Its crystal system is trigonal. The calculation puts the formation energy without anion corrections at -0.9956 eV per atom.

Record 8
Density functional theory data (PBEsol) for Y9Al5S21 after structural relaxation.

Cell: 16.4747 16.4747 18.0543 Å, 90.00 90.00 120.00°
Last column: nearest neighbours and their distance in Å.
Space group R3 (No. 146, hexagonal axes)
Symmetry-distinct sites (fractional):
Y  0.0231  0.1998  0.0000 x9  6 S 2.69-2.80
Y  0.0225  0.2031  0.3414 x9  7 S 2.71-2.94
Y  0.0241  0.1970  0.6640 x9  7 S 2.72-2.89
Y  0.1530  0.6900  0.5068 x9  7 S 2.71-2.97
Y  0.1576  0.6845  0.8290 x9  7 S 2.73-2.95
Y  0.1595  0.6951  0.1695 x9  7 S 2.71-2.93
Al  0.0000  0.0000  0.2680 x3  6 S 2.32-2.57
Al  0.0000  0.0000  0.4497 x3  6 S 2.39-2.46
Al  0.0000  0.0000  0.7666 x3  6 S 2.32-2.57
Al  0.0000  0.0000  0.9481 x3  6 S 2.39-2.46
Al  0.0013  0.6707  0.3095 x9  4 S 2.22-2.25
Al  0.0058  0.3354  0.8095 x9  4 S 2.22-2.26
S  0.9997  0.3341  0.2657 x9  1 Al 2.22
S  0.0022  0.6672  0.0992 x9  1 Al 2.22
S  0.0083  0.5480  0.5890 x9  1 Al 2.24
S  0.0085  0.1253  0.2029 x9  1 Al 2.32
S  0.0119  0.1210  0.8619 x9  2 Al 2.46-2.57
S  0.0158  0.1318  0.5174 x9  1 Al 2.39
S  0.0176  0.5494  0.9261 x9  1 Al 2.23
S  0.0229  0.5586  0.2579 x9  1 Al 2.25
S  0.1210  0.1096  0.3637 x9  2 Al 2.46-2.57
S  0.1268  0.1154  0.7020 x9  1 Al 2.32
S  0.1284  0.3421  0.0928 x9  1 Al 2.26
S  0.1305  0.1169  0.0160 x9  1 Al 2.39
S  0.1305  0.3567  0.4251 x9  1 Al 2.24
S  0.1346  0.3511  0.7551 x9  1 Al 2.23

Computed properties:
Its crystal system is trigonal. The calculation puts the formation energy without anion corrections at -1.7824 eV per atom.

Record 9
Density functional theory data (PBEsol) for Al2ZnS4 after structural relaxation.

Cell: 3.6421 3.6421 35.0337 Å, 90.00 90.00 120.00°
Last column: nearest neighbours and their distance in Å.
Space group R3m (No. 160, hexagonal axes)
Symmetry-distinct sites (fractional):
Al  0.0000  0.0000  0.0000 x3  4 S 2.25-2.28
Al  0.0000  0.0000  0.2299 x3  6 S 2.39-2.51
Zn  0.0000  0.0000  0.4593 x3  4 S 2.23-2.49
S  0.0000  0.0000  0.1046 x3  3 Zn 2.23
S  0.0000  0.0000  0.3586 x3  3 Al 2.28
S  0.0000  0.0000  0.5305 x3  3 Al 2.39, 1 Zn 2.49
S  0.0000  0.0000  0.9359 x3  4 Al 2.25-2.51

Computed properties:
Its crystal system is trigonal. The calculation puts the formation energy without anion corrections at -0.9263 eV per atom.

Record 10
Density functional theory data (PBEsol) for Al2ZnS4 after structural relaxation.

Cell: 5.2544 5.2544 10.2996 Å, 90.00 90.00 90.00°
Last column: nearest neighbours and their distance in Å.
Space group I-4 (No. 82)
Symmetry-distinct sites (fractional):
Al  0.0000  0.0000  0.0000 x2  4 S 2.26
Al  0.0000  0.5000  0.2500 x2  4 S 2.26
Zn  0.0000  0.5000  0.7500 x2  4 S 2.33
S  0.2386  0.2495  0.3812 x8  2 Al 2.26, 1 Zn 2.33

Computed properties:
Its crystal system is tetragonal. The calculation puts the formation energy without anion corrections at -1.0067 eV per atom.

Record 11
Density functional theory data (PBEsol) for Al2Zn2S5 after structural relaxation.

Cell: 6.4373 6.0929 9.8012 Å, 90.00 109.13 90.00°
Last column: nearest neighbours and their distance in Å.
Space group P2_1 (No. 4)
Symmetry-distinct sites (fractional):
Al  0.1277  0.0000  0.1034 x2  4 S 2.25-2.28
Al  0.3378  0.0034  0.5000 x2  4 S 2.24-2.28
Zn  0.2604  0.4894  0.6910 x2  4 S 2.29-2.37
Zn  0.4687  0.5048  0.1115 x2  4 S 2.27-2.36
S  0.0711  0.1366  0.3015 x2  2 Al 2.25-2.28, 1 Zn 2.34
S  0.1224  0.6274  0.1008 x2  2 Al 2.26-2.27, 1 Zn 2.32
S  0.2487  0.1135  0.6915 x2  1 Al 2.24, 2 Zn 2.27-2.29
S  0.3285  0.6300  0.4904 x2  2 Al 2.26-2.28, 1 Zn 2.31
S  0.4624  0.1190  0.0997 x2  1 Al 2.28, 3 Zn 2.35-2.37

Computed properties:
Its crystal system is monoclinic. The calculation puts the formation energy without anion corrections at -0.9519 eV per atom.

Record 12
Density functional theory data (PBEsol) for Al2ZnS4 after structural relaxation.

Cell: 9.9727 9.9727 9.9727 Å, 90.00 90.00 90.00°
Last column: nearest neighbours and their distance in Å.
Space group Fd-3m (No. 227, origin choice 2)
Symmetry-distinct sites (fractional):
Al  0.0000  0.0000  0.0000 x16  6 S 2.41
Zn  0.1250  0.1250  0.6250 x8  4 S 2.32
S  0.0091  0.0091  0.2409 x32  1 Zn 2.32, 3 Al 2.41

Computed properties:
Its crystal system is cubic. The calculation puts the formation energy without anion corrections at -1.0620 eV per atom.

Record 13
Density functional theory data (PBEsol) for Al2ZnS4 after structural relaxation.

Cell: 6.0583 3.6324 6.4869 Å, 90.00 90.32 90.00°
Last column: nearest neighbours and their distance in Å.
Space group Pm (No. 6)
Symmetry-distinct sites (fractional):
Al  0.0000  0.0000  0.0000 x1  4 S 2.17-2.37
Al  0.4535  0.0000  0.3224 x1  4 S 2.18-2.34
Zn  0.4636  0.5000  0.8032 x1  4 S 2.30-2.36
S  0.0832  0.5000  0.8017 x1  2 Al 2.28, 1 Zn 2.30
S  0.0933  0.0000  0.3234 x1  2 Al 2.17-2.18
S  0.6085  0.0000  0.9920 x1  2 Al 2.34-2.37, 2 Zn 2.36
S  0.6133  0.5000  0.4773 x1  2 Al 2.29, 1 Zn 2.30

Computed properties:
Its crystal system is monoclinic. The calculation puts the formation energy without anion corrections at -0.9528 eV per atom.

Record 14
Density functional theory data (PBEsol) for Al2ZnS4 after structural relaxation.

Cell: 12.4750 7.2218 5.9105 Å, 90.00 90.00 90.00°
Last column: nearest neighbours and their distance in Å.
Space group Pnma (No. 62)
Symmetry-distinct sites (fractional):
Al  0.0000  0.0000  0.0000 x4  6 S 2.44-2.46
Al  0.0853  0.2500  0.4105 x4  4 S 2.25-2.27
Zn  0.2339  0.7500  0.4963 x4  6 S 2.54-2.65
S  0.0759  0.7500  0.7681 x4  3 Al 2.27-2.46, 1 Zn 2.54
S  0.0861  0.2500  0.7911 x4  3 Al 2.25-2.44
S  0.1600  0.0032  0.2401 x8  2 Al 2.25-2.45

Computed properties:
Its crystal system is orthorhombic. The calculation puts the formation energy without anion corrections at -0.9548 eV per atom.

Record 15
Density functional theory data (PBEsol) for AlSb5 after structural relaxation.

Cell: 5.7206 5.7206 5.3108 Å, 90.00 90.00 120.00°
Last column: nearest neighbours and their distance in Å.
Space group P-62m (No. 189)
Symmetry-distinct sites (fractional):
Al  0.0000  0.0000  0.0000 x1  12 Sb 3.19-3.30
Sb  0.0000  0.6925  0.5000 x3  6 Sb 3.05-3.32, 2 Al 3.19
Sb  0.3333  0.6667  0.0000 x2  3 Al 3.30, 9 Sb 3.30-3.32

Computed properties:
Its crystal system is hexagonal. The calculation puts the formation energy without anion corrections at 0.2149 eV per atom.

Record 16
Density functional theory data (PBEsol) for Sc4AlSb after structural relaxation.

Cell: 8.0859 8.0859 8.0859 Å, 90.00 90.00 90.00°
Last column: nearest neighbours and their distance in Å.
Space group F-43m (No. 216)
Symmetry-distinct sites (fractional):
Sc  0.1255  0.1255  0.1255 x16  6 Sc 2.85-2.87
Al  0.0000  0.0000  0.5000 x4  12 Sc 3.35, 4 Sb 3.50
Sb  0.2500  0.2500  0.7500 x4  12 Sc 3.35, 4 Al 3.50

Computed properties:
Its crystal system is cubic. The calculation puts the formation energy without anion corrections at 0.0185 eV per atom.

Record 17
Density functional theory data (PBEsol) for ScAl3Sb after structural relaxation.

Cell: 5.1715 5.1715 5.1715 Å, 90.00 90.00 90.00°
Last column: nearest neighbours and their distance in Å.
Space group Pm-3m (No. 221)
Symmetry-distinct sites (fractional):
Sc  0.0000  0.0000  0.0000 x1  12 Al 3.66
Al  0.0000  0.5000  0.5000 x3  2 Sb 2.59
Sb  0.5000  0.5000  0.5000 x1  6 Al 2.59

Computed properties:
Its crystal system is cubic. The calculation puts the formation energy without anion corrections at 0.8674 eV per atom.

Record 18
Density functional theory data (PBEsol) for Al2SbSe after structural relaxation.

Cell: 3.9202 3.9202 19.2591 Å, 90.00 90.00 120.00°
Last column: nearest neighbours and their distance in Å.
Space group R-3m (No. 166, hexagonal axes)
Symmetry-distinct sites (fractional):
Al  0.0000  0.0000  0.2489 x6  3 Se 2.76, 3 Sb 2.79
Sb  0.0000  0.0000  0.0000 x3  6 Al 2.79
Se  0.0000  0.0000  0.5000 x3  6 Al 2.76

Computed properties:
Its crystal system is trigonal. The calculation puts the formation energy without anion corrections at -0.2263 eV per atom. For the distance to the lowest polymorph of the same formula, the calculation gives 0.00 eV/f.u.

Record 19
Density functional theory data (PBEsol) for AlSb2Se after structural relaxation.

Cell: 5.7734 5.7734 14.7520 Å, 90.00 90.00 90.00°
Last column: nearest neighbours and their distance in Å.
Space group I-42d (No. 122)
Symmetry-distinct sites (fractional):
Al  0.0000  0.0000  0.0000 x4  4 Sb 2.72
Sb  0.2386  0.2500  0.1250 x8  2 Al 2.72, 2 Se 2.79
Se  0.0000  0.0000  0.5000 x4  4 Sb 2.79

Computed properties:
Its crystal system is tetragonal. The calculation puts the formation energy without anion corrections at 0.2257 eV per atom.

Record 20
Density functional theory data (PBEsol) for AlSbSe after structural relaxation.

Cell: 6.5748 6.5748 6.5748 Å, 90.00 90.00 90.00°
Last column: nearest neighbours and their distance in Å.
Space group F-43m (No. 216)
Symmetry-distinct sites (fractional):
Al  0.0000  0.0000  0.0000 x4  4 Se 2.85, 4 Sb 2.85
Sb  0.2500  0.2500  0.7500 x4  4 Al 2.85
Se  0.2500  0.2500  0.2500 x4  4 Al 2.85

Computed properties:
Its crystal system is cubic. The calculation puts the formation energy without anion corrections at 0.1201 eV per atom.

Record 21
Density functional theory data (PBEsol) for Al2SbSe after structural relaxation.

Cell: 5.5929 5.5929 5.6125 Å, 90.00 90.00 90.00°
Last column: nearest neighbours and their distance in Å.
Space group I4/mmm (No. 139)
Symmetry-distinct sites (fractional):
Al  0.0000  0.5000  0.0000 x4  2 Se 2.80, 2 Sb 2.80, 2 Al 2.81
Sb  0.0000  0.0000  0.0000 x2  4 Al 2.80, 2 Se 2.81
Se  0.0000  0.0000  0.5000 x2  4 Al 2.80, 2 Sb 2.81

Computed properties:
Its crystal system is tetragonal. The calculation puts the formation energy without anion corrections at -0.0631 eV per atom. For the distance to the lowest polymorph of the same formula, the calculation gives 0.65 eV/f.u.